Material: NaPWO6
Method: DFT, GGA+U
State: relaxed

Unit cell a=6.453 b=12.140 c=13.732 alpha=90.00 beta=116.85 gamma=90.00
Sites, in units of the cell vectors:
Na (0.076, 0.210, 0.125)
Na (0.076, 0.290, 0.625)
Na (0.385, 0.686, 0.849)
Na (0.385, 0.814, 0.349)
Na (0.615, 0.186, 0.651)
Na (0.615, 0.314, 0.151)
Na (0.924, 0.710, 0.375)
Na (0.924, 0.790, 0.875)
P (0.185, 0.115, 0.437)
P (0.185, 0.385, 0.937)
P (0.367, 0.540, 0.623)
P (0.367, 0.960, 0.123)
P (0.633, 0.040, 0.877)
P (0.633, 0.460, 0.377)
P (0.815, 0.615, 0.063)
P (0.815, 0.885, 0.563)
W (0.142, 0.102, 0.888)
W (0.142, 0.398, 0.388)
W (0.383, 0.603, 0.130)
W (0.383, 0.897, 0.630)
W (0.617, 0.103, 0.370)
W (0.617, 0.397, 0.870)
W (0.858, 0.602, 0.612)
W (0.858, 0.898, 0.112)
O (0.017, 0.167, 0.758)
O (0.017, 0.333, 0.258)
O (0.073, 0.580, 0.127)
O (0.073, 0.920, 0.627)
O (0.097, 0.540, 0.358)
O (0.097, 0.960, 0.858)
O (0.150, 0.616, 0.591)
O (0.150, 0.884, 0.091)
O (0.210, 0.238, 0.469)
O (0.210, 0.262, 0.969)
O (0.272, 0.676, 0.004)
O (0.272, 0.824, 0.504)
O (0.296, 0.087, 0.361)
O (0.296, 0.413, 0.861)
O (0.297, 0.070, 0.062)
O (0.297, 0.430, 0.562)
O (0.312, 0.052, 0.546)
O (0.312, 0.448, 0.046)
O (0.469, 0.106, 0.911)
O (0.469, 0.394, 0.411)
O (0.476, 0.707, 0.232)
O (0.476, 0.793, 0.732)
O (0.485, 0.523, 0.747)
O (0.485, 0.977, 0.247)
O (0.515, 0.023, 0.753)
O (0.515, 0.477, 0.253)
O (0.524, 0.207, 0.268)
O (0.524, 0.293, 0.768)
O (0.531, 0.606, 0.589)
O (0.531, 0.894, 0.089)
O (0.688, 0.552, 0.954)
O (0.688, 0.948, 0.454)
O (0.703, 0.570, 0.438)
O (0.703, 0.930, 0.938)
O (0.704, 0.587, 0.139)
O (0.704, 0.913, 0.639)
O (0.728, 0.176, 0.496)
O (0.728, 0.324, 0.996)
O (0.790, 0.738, 0.031)
O (0.790, 0.762, 0.531)
O (0.850, 0.116, 0.909)
O (0.850, 0.384, 0.409)
O (0.903, 0.040, 0.142)
O (0.903, 0.460, 0.642)
O (0.927, 0.080, 0.373)
O (0.927, 0.420, 0.873)
O (0.983, 0.667, 0.742)
O (0.983, 0.833, 0.242)

Properties
* raw total energy: -501.5 eV/cell
* energy above the most stable polymorph in this dataset: 0.0 meV/atom
* calculated density: 4.62 Mg/m³
* space-group type: No. 14
* N(E_F): 0.00 states/eV/atom